(1)
Density functional theory data (PBE-GGA) for Ti3CoGe after structural relaxation.

Lattice parameters (Å, degrees): 4.456 4.456 4.456 90.00 90.00 90.00
Positions (direct):
Ti  0.500  0.000  0.000
Ti  0.000  0.500  0.000
Ti  0.000  0.000  0.500
Ge  0.500  0.500  0.500
Co  0.000  0.000  0.000

## Properties
* DFT formation energy: 75.7 meV/atom
* total moment: 0.000 μB/f.u.

(2)
Density functional theory data (PBE-GGA) for Ti8Co2Ge after structural relaxation.

Lattice parameters (Å, degrees): 4.340 6.872 6.872 116.16 98.74 98.74
Positions (direct):
Ti  0.079  0.082  0.315
Ti  0.500  0.764  0.236
Ti  0.921  0.685  0.918
Co  0.000  0.685  0.315
Ti  0.314  0.610  0.610
Ti  0.921  0.918  0.685
Ti  0.079  0.315  0.082
Ge  0.500  0.000  0.000
Ti  0.686  0.390  0.390
Co  0.000  0.315  0.685
Ti  0.500  0.236  0.764

## Properties
* DFT formation energy: -162.3 meV/atom
* total moment: 0.001 μB/f.u.

(3)
Density functional theory data (PBE-GGA) for Ti4Co4Ge7 after structural relaxation.

Lattice parameters (Å, degrees): 9.451 9.451 9.451 94.16 94.16 148.75
Positions (direct):
Ti  0.863  0.863  0.726
Ge  0.751  0.751  0.000
Ge  0.716  0.000  0.716
Co  0.900  0.400  0.801
Co  0.100  0.900  0.500
Ge  0.284  0.000  0.284
Ge  0.298  0.298  0.595
Ti  0.863  0.137  0.000
Ge  0.500  0.097  0.597
Ti  0.137  0.137  0.274
Co  0.600  0.100  0.199
Co  0.900  0.100  0.500
Ge  0.500  0.903  0.403
Ti  0.309  0.500  0.809
Co  0.400  0.600  0.500
Co  0.600  0.400  0.500
Ge  0.903  0.500  0.403
Co  0.100  0.600  0.199
Ge  0.702  0.298  0.000
Ti  0.500  0.691  0.191
Ge  0.298  0.702  0.000
Ge  0.000  0.284  0.284
Ge  0.097  0.500  0.597
Ti  0.691  0.500  0.191
Co  0.400  0.900  0.801
Ge  0.249  0.249  0.000
Ge  0.702  0.702  0.405
Ge  0.000  0.716  0.716
Ti  0.137  0.863  0.000
Ti  0.500  0.309  0.809

## Properties
* DFT formation energy: -514.8 meV/atom
* total moment: 0.000 μB/f.u.

(4)
Density functional theory data (PBE-GGA) for Ti6Co16Ge7 after structural relaxation.

Lattice parameters (Å, degrees): 7.995 7.995 7.995 60.00 60.00 60.00
Positions (direct):
Ge  0.500  0.000  0.500
Ti  0.699  0.301  0.699
Co  0.880  0.880  0.360
Ge  0.000  0.000  0.000
Co  0.334  0.334  0.997
Ti  0.301  0.699  0.301
Co  0.120  0.120  0.120
Ti  0.301  0.699  0.699
Co  0.880  0.880  0.880
Co  0.334  0.334  0.334
Co  0.120  0.640  0.120
Co  0.666  0.666  0.666
Ti  0.699  0.699  0.301
Ge  0.500  0.500  0.000
Ge  0.500  0.000  0.000
Co  0.880  0.360  0.880
Ti  0.699  0.301  0.301
Co  0.640  0.120  0.120
Co  0.360  0.880  0.880
Ge  0.000  0.000  0.500
Ge  0.000  0.500  0.000
Co  0.334  0.997  0.334
Ge  0.000  0.500  0.500
Co  0.997  0.334  0.334
Co  0.666  0.666  0.003
Co  0.120  0.120  0.640
Ti  0.301  0.301  0.699
Co  0.003  0.666  0.666
Co  0.666  0.003  0.666

## Properties
* DFT formation energy: -382.7 meV/atom
* total moment: 0.008 μB/f.u.